--- P ---
The following is a DFT calculation (GGA-PBE) of LiTlTc after structural relaxation.

a = 4.5480 Å, b = 4.5480 Å, c = 2.8355 Å
α = 90.00°, β = 90.00°, γ = 120.00°
Last column: nearest neighbours and their distance in Å.
Positions (direct):
1 Li 0.0000 0.0000 0.0000  3 Tl 2.63, 2 Li 2.84
2 Tl 0.3333 0.6667 0.0000  3 Li 2.63, 2 Tl 2.84
3 Tc 0.6667 0.3333 0.5000  2 Tc 2.84, 6 Li 2.98, 6 Tl 2.98

---

--- Q ---
The following is a DFT calculation (GGA-PBE) of LiTlTc after structural relaxation.

a = 2.9651 Å, b = 2.9651 Å, c = 7.1487 Å
α = 90.00°, β = 90.00°, γ = 120.00°
Last column: nearest neighbours and their distance in Å.
Positions (direct):
1 Li 0.0000 0.0000 0.0000  3 Tc 2.81, 6 Li 2.97, 3 Tl 3.01
2 Tl 0.6667 0.3333 0.6534  6 Tl 2.97, 3 Tc 2.99, 3 Li 3.01
3 Tc 0.3333 0.6667 0.3112  3 Li 2.81, 6 Tc 2.97, 3 Tl 2.99

---

Which one sits at the top of the stability order? P does.

---

--- P ---
The following is a DFT calculation (GGA-PBE) of LiTlTc after structural relaxation.

a = 3.3130 Å, b = 4.6524 Å, c = 14.0384 Å
α = 90.00°, β = 90.00°, γ = 90.00°
Last column: nearest neighbours and their distance in Å.
Positions (direct):
1 Li 0.0000 0.0000 0.0000  2 Tc 2.71, 4 Li 2.86, 2 Tl 2.96
2 Li 0.0000 0.5000 0.5000  2 Tc 2.71, 4 Li 2.86, 2 Tl 2.96
3 Li 0.5000 0.0000 0.5000  2 Tc 2.71, 4 Li 2.86, 2 Tl 2.96
4 Li 0.5000 0.5000 0.0000  2 Tc 2.71, 4 Li 2.86, 2 Tl 2.96
5 Tl 0.0000 0.0000 0.3257  4 Tl 2.86, 2 Tc 2.94, 2 Li 2.96
6 Tl 0.0000 0.5000 0.8257  4 Tl 2.86, 2 Tc 2.94, 2 Li 2.96
7 Tl 0.5000 0.0000 0.8257  4 Tl 2.86, 2 Tc 2.94, 2 Li 2.96
8 Tl 0.5000 0.5000 0.3257  4 Tl 2.86, 2 Tc 2.94, 2 Li 2.96
9 Tc 0.0000 0.0000 0.6529  2 Li 2.71, 4 Tc 2.86, 2 Tl 2.94
10 Tc 0.0000 0.5000 0.1529  2 Li 2.71, 4 Tc 2.86, 2 Tl 2.94
11 Tc 0.5000 0.0000 0.1529  2 Li 2.71, 4 Tc 2.86, 2 Tl 2.94
12 Tc 0.5000 0.5000 0.6529  2 Li 2.71, 4 Tc 2.86, 2 Tl 2.94

---

--- Q ---
The following is a DFT calculation (GGA-PBE) of LiTlTc after structural relaxation.

a = 2.8212 Å, b = 2.8212 Å, c = 13.6386 Å
α = 90.00°, β = 90.00°, γ = 90.00°
Last column: nearest neighbours and their distance in Å.
Positions (direct):
1 Li 0.0000 0.0000 0.0000  4 Li 2.82, 4 Tc 2.86, 4 Tl 3.14
2 Li 0.5000 0.5000 0.5000  4 Li 2.82, 4 Tc 2.86, 4 Tl 3.14
3 Tl 0.0000 0.0000 0.6776  4 Tl 2.82, 4 Tc 3.08, 4 Li 3.14
4 Tl 0.5000 0.5000 0.1776  4 Tl 2.82, 4 Tc 3.08, 4 Li 3.14
5 Tc 0.0000 0.0000 0.3496  4 Tc 2.82, 4 Li 2.86, 4 Tl 3.08
6 Tc 0.5000 0.5000 0.8496  4 Tc 2.82, 4 Li 2.86, 4 Tl 3.08

---

Which one sits at the top of the stability order? P does.

---

--- P ---
The following is a DFT calculation (GGA-PBE) of LiTl3Tc after structural relaxation.

a = 5.3290 Å, b = 5.3290 Å, c = 5.3290 Å
α = 90.00°, β = 90.00°, γ = 90.00°
Last column: nearest neighbours and their distance in Å.
Positions (direct):
1 Li 0.0000 0.0000 0.0000  12 Tl 3.77
2 Tl 0.0000 0.5000 0.5000  2 Tc 2.66
3 Tl 0.5000 0.0000 0.5000  2 Tc 2.66
4 Tl 0.5000 0.5000 0.0000  2 Tc 2.66
5 Tc 0.5000 0.5000 0.5000  6 Tl 2.66

---

--- Q ---
The following is a DFT calculation (GGA-PBE) of LiTl3Tc after structural relaxation.

a = 5.0035 Å, b = 5.0035 Å, c = 5.0035 Å
α = 90.00°, β = 90.00°, γ = 90.00°
Last column: nearest neighbours and their distance in Å.
Positions (direct):
1 Li 0.0000 0.0000 0.0000  6 Tl 2.50
2 Tl 0.0000 0.0000 0.5000  2 Li 2.50
3 Tl 0.0000 0.5000 0.0000  2 Li 2.50
4 Tl 0.5000 0.0000 0.0000  2 Li 2.50
5 Tc 0.5000 0.5000 0.5000  12 Tl 3.54

---

Which one sits at the top of the stability order? P does.

---

--- P ---
The following is a DFT calculation (GGA-PBE) of Li2TlTc2 after structural relaxation.

a = 4.6838 Å, b = 4.6838 Å, c = 7.9109 Å
α = 90.00°, β = 90.00°, γ = 90.00°
Last column: nearest neighbours and their distance in Å.
Positions (direct):
1 Li 0.0000 0.5000 0.2500  4 Tc 2.50
2 Li 0.0000 0.5000 0.7500  4 Tc 2.50
3 Li 0.5000 0.0000 0.2500  4 Tc 2.50
4 Li 0.5000 0.0000 0.7500  4 Tc 2.50
5 Tl 0.0000 0.0000 0.0000  2 Tc 2.85, 8 Li 3.07
6 Tl 0.5000 0.5000 0.5000  2 Tc 2.85, 8 Li 3.07
7 Tc 0.0000 0.0000 0.3606  1 Tc 2.21
8 Tc 0.0000 0.0000 0.6394  1 Tc 2.21
9 Tc 0.5000 0.5000 0.1394  1 Tc 2.21
10 Tc 0.5000 0.5000 0.8606  1 Tc 2.21

---

--- Q ---
The following is a DFT calculation (GGA-PBE) of Li2TlTc2 after structural relaxation.

a = 7.1466 Å, b = 7.1466 Å, c = 3.1928 Å
α = 90.00°, β = 90.00°, γ = 90.00°
Last column: nearest neighbours and their distance in Å.
Positions (direct):
1 Li 0.1836 0.3164 0.0000  6 Tc 2.64-2.68
2 Li 0.3164 0.8164 0.0000  6 Tc 2.64-2.68
3 Li 0.6836 0.1836 0.0000  6 Tc 2.64-2.68
4 Li 0.8164 0.6836 0.0000  6 Tc 2.64-2.68
5 Tl 0.0000 0.0000 0.5000  4 Tc 2.90, 8 Li 3.06, 2 Tl 3.19
6 Tl 0.5000 0.5000 0.5000  4 Tc 2.90, 8 Li 3.06, 2 Tl 3.19
7 Tc 0.1082 0.6082 0.5000  1 Tc 2.19
8 Tc 0.3918 0.1082 0.5000  1 Tc 2.19
9 Tc 0.6082 0.8918 0.5000  1 Tc 2.19
10 Tc 0.8918 0.3918 0.5000  1 Tc 2.19

---

Which one sits at the top of the stability order? Q does.

---

--- P ---
The following is a DFT calculation (GGA-PBE) of LiUTc2 after structural relaxation.

a = 6.3294 Å, b = 6.3294 Å, c = 6.3294 Å
α = 90.00°, β = 90.00°, γ = 90.00°
Last column: nearest neighbours and their distance in Å.
Positions (direct):
1 Li 0.0000 0.0000 0.0000  8 Tc 2.74
2 Li 0.0000 0.5000 0.5000  8 Tc 2.74
3 Li 0.5000 0.0000 0.5000  8 Tc 2.74
4 Li 0.5000 0.5000 0.0000  8 Tc 2.74
5 U 0.0000 0.0000 0.5000  8 Tc 2.74
6 U 0.0000 0.5000 0.0000  8 Tc 2.74
7 U 0.5000 0.0000 0.0000  8 Tc 2.74
8 U 0.5000 0.5000 0.5000  8 Tc 2.74
9 Tc 0.2500 0.2500 0.2500  4 U 2.74, 4 Li 2.74
10 Tc 0.2500 0.2500 0.7500  4 Li 2.74, 4 U 2.74
11 Tc 0.2500 0.7500 0.2500  4 Li 2.74, 4 U 2.74
12 Tc 0.2500 0.7500 0.7500  4 U 2.74, 4 Li 2.74
13 Tc 0.7500 0.2500 0.2500  4 Li 2.74, 4 U 2.74
14 Tc 0.7500 0.2500 0.7500  4 U 2.74, 4 Li 2.74
15 Tc 0.7500 0.7500 0.2500  4 U 2.74, 4 Li 2.74
16 Tc 0.7500 0.7500 0.7500  4 Li 2.74, 4 U 2.74

---

--- Q ---
The following is a DFT calculation (GGA-PBE) of LiUTc2 after structural relaxation.

a = 4.2138 Å, b = 4.2138 Å, c = 3.5353 Å
α = 90.00°, β = 90.00°, γ = 90.00°
Last column: nearest neighbours and their distance in Å.
Positions (direct):
1 Li 0.0000 0.0000 0.0000  8 Tc 2.75, 4 U 2.98
2 U 0.5000 0.5000 0.0000  8 Tc 2.75, 4 Li 2.98
3 Tc 0.0000 0.5000 0.5000  4 Li 2.75, 4 U 2.75, 4 Tc 2.98
4 Tc 0.5000 0.0000 0.5000  4 Li 2.75, 4 U 2.75, 4 Tc 2.98

---

Which one sits at the top of the stability order? Q does.

---

--- P ---
The following is a DFT calculation (GGA-PBE) of LiV3Tc after structural relaxation.

a = 4.5698 Å, b = 4.5698 Å, c = 4.5698 Å
α = 90.00°, β = 90.00°, γ = 90.00°
Last column: nearest neighbours and their distance in Å.
Positions (direct):
1 Li 0.0000 0.0000 0.0000  12 V 3.23
2 V 0.0000 0.5000 0.5000  2 Tc 2.28
3 V 0.5000 0.0000 0.5000  2 Tc 2.28
4 V 0.5000 0.5000 0.0000  2 Tc 2.28
5 Tc 0.5000 0.5000 0.5000  6 V 2.28

---

--- Q ---
The following is a DFT calculation (GGA-PBE) of LiV3Tc after structural relaxation.

a = 4.0814 Å, b = 4.0814 Å, c = 4.0814 Å
α = 90.00°, β = 90.00°, γ = 90.00°
Last column: nearest neighbours and their distance in Å.
Positions (direct):
1 Li 0.0000 0.0000 0.0000  6 V 2.04
2 V 0.0000 0.0000 0.5000  2 Li 2.04
3 V 0.0000 0.5000 0.0000  2 Li 2.04
4 V 0.5000 0.0000 0.0000  2 Li 2.04
5 Tc 0.5000 0.5000 0.5000  12 V 2.89

---

Which one sits at the top of the stability order? P does.